{"formula": "Mn2PPb", "functional": "PBE", "state": "optimized geometry", "cell": [[4.3387, 0.0000, 0.0000], [0.0000, 3.1536, -0.0001], [0.0000, 1.5713, 5.2659]], "species": ["P", "Mn", "Mn", "Pb"], "fractional_positions": [[0.0000, 0.3706, 0.3853], [0.5000, 0.4159, 0.2903], [0.0000, 0.0332, 0.0591], [0.5000, 0.6804, 0.7654]], "dos_at_fermi_per_ev_atom": 0.61, "energy_ev_per_atom": -6.6604, "formation_energy_kj_per_mol_atoms": 19.7, "magnetic_moment_mub_per_cell": 5.58}